[1]
This record from Alexandria via LeMat-Bulk describes BaMgIn2Ni after structural relaxation. The functional is GGA-PBE.

a b c (Å): 5.083 5.083 5.081
angles (deg): 90.00 90.00 90.00
Space group P4/mmm (No. 123)
Inequivalent atoms, fractional coordinates:
1 Ba 0.000 0.000 0.000 [1 per cell]
2 Mg 0.500 0.500 0.000 [1 per cell]
3 In 0.000 0.500 0.500 [2 per cell]
4 Ni 0.500 0.500 0.500 [1 per cell]

For the energy of formation, the calculation gives -126 kJ/mol of formula units. The calculation puts the total energy at -16.09 eV for the cell shown.

---

[2]
This record from Alexandria via LeMat-Bulk describes Ba2MgIn12Ni3 after structural relaxation. The functional is GGA-PBE.

a b c (Å): 9.6269 9.6269 20.3551
angles (deg): 90.00 90.00 120.00
Space group R-3m (No. 166, hexagonal axes)
Inequivalent atoms, fractional coordinates:
1 Ba 0.0000 0.0000 0.0960 [6 per cell]
2 Mg 0.0000 0.0000 0.5000 [3 per cell]
3 In 0.0124 0.5062 0.8746 [18 per cell]
4 In 0.0915 0.5457 0.3234 [18 per cell]
5 Ni 0.0000 0.5000 0.0000 [9 per cell]

For the energy of formation, the calculation gives -66 kJ/mol of formula units. The calculation puts the total energy at -168.98 eV for the cell shown.

---

[3]
This record from Alexandria via LeMat-Bulk describes Ba2MgInNi after structural relaxation. The functional is GGA-PBE.

a b c (Å): 5.997 5.997 5.030
angles (deg): 90.00 90.00 90.00
Space group P4/mmm (No. 123)
Inequivalent atoms, fractional coordinates:
1 Ba 0.000 0.500 0.000 [2 per cell]
2 Mg 0.000 0.000 0.500 [1 per cell]
3 In 0.500 0.500 0.500 [1 per cell]
4 Ni 0.500 0.500 0.000 [1 per cell]

For the energy of formation, the calculation gives -42 kJ/mol of formula units. The calculation puts the energy above the lowest structure with this stoichiometry at 0 meV per atom. The calculation puts the total energy at -14.40 eV for the cell shown.

---

[4]
This record from Alexandria via LeMat-Bulk describes Ba2MgIn2P4 after structural relaxation. The functional is GGA-PBE.

a b c (Å): 16.271 4.107 7.443
angles (deg): 90.00 107.51 90.00
Space group C2/m (No. 12)
Inequivalent atoms, fractional coordinates:
1 Ba 0.120 0.000 0.041 [4 per cell]
2 Mg 0.000 0.000 0.500 [2 per cell]
3 In 0.165 0.500 0.501 [4 per cell]
4 P 0.016 0.500 0.266 [4 per cell]
5 P 0.222 0.000 0.715 [4 per cell]

For the energy of formation, the calculation gives -545 kJ/mol of formula units. The calculation puts the total energy at -76.41 eV for the cell shown.